<w>
{
  "formula": "NaTi2Pd2",
  "functional": "PBE",
  "state": "optimized geometry",
  "cell": [[7.8890, 0.0000, 0.0000], [0.0000, 7.8890, 0.0000], [0.0000, 0.0000, 2.8388]],
  "species": ["Na", "Na", "Ti", "Ti", "Ti", "Ti", "Pd", "Pd", "Pd", "Pd"],
  "fractional_positions": [[0.0000, 0.0000, 0.0000], [0.5000, 0.5000, 0.0000], [0.1525, 0.3475, 0.5000], [0.3475, 0.8475, 0.5000], [0.6525, 0.1525, 0.5000], [0.8475, 0.6525, 0.5000], [0.1395, 0.6395, 0.0000], [0.3605, 0.1395, 0.0000], [0.6395, 0.8605, 0.0000], [0.8605, 0.3605, 0.0000]],
  "total_magnetization_mub_per_cell": 0.72,
  "dos_at_fermi_per_ev_cell": 11.60
}

=====

<x>
{
  "formula": "NaTi2Pd2",
  "functional": "PBE",
  "state": "optimized geometry",
  "cell": [[-2.2968, 2.2968, 4.9025], [2.2968, -2.2968, 4.9025], [2.2968, 2.2968, -4.9025]],
  "species": ["Na", "Ti", "Ti", "Pd", "Pd"],
  "fractional_positions": [[0.0000, 0.0000, 0.0000], [0.3638, 0.3638, 0.0000], [0.6362, 0.6362, 0.0000], [0.2500, 0.7500, 0.5000], [0.7500, 0.2500, 0.5000]],
  "total_magnetization_mub_per_cell": 2.43,
  "dos_at_fermi_per_ev_cell": 4.20
}

=====

Which structure is most stable? <w>, by 0.372 eV/atom over the runner-up.

=====

<w>
{
  "formula": "BC2",
  "functional": "PBE",
  "state": "optimized geometry",
  "cell": [[4.2151, -1.2745, 0.0000], [4.2151, 1.2745, 0.0000], [-3.8963, 0.0000, 7.0318]],
  "species": ["B", "B", "B", "B", "C", "C", "C", "C", "C", "C", "C", "C"],
  "fractional_positions": [[0.0000, 0.0000, 0.0000], [0.0374, 0.0374, 0.4749], [0.1592, 0.1592, 0.7214], [0.3279, 0.3279, 0.6303], [0.1856, 0.1856, 0.1961], [0.3457, 0.3457, 0.1558], [0.4868, 0.4868, 0.8521], [0.5248, 0.5248, 0.3408], [0.6600, 0.6600, 0.8429], [0.6916, 0.6916, 0.3120], [0.8314, 0.8314, 0.0369], [0.8558, 0.8558, 0.5168]],
  "total_magnetization_mub_per_cell": 0.00,
  "dos_at_fermi_per_ev_cell": 1.51
}

=====

<x>
{
  "formula": "BC2",
  "functional": "PBE",
  "state": "optimized geometry",
  "cell": [[4.4628, 0.0000, 0.0000], [0.8930, 4.4564, 0.0000], [1.4051, 1.9085, 3.8826]],
  "species": ["B", "B", "B", "B", "C", "C", "C", "C", "C", "C", "C", "C"],
  "fractional_positions": [[0.0000, 0.0000, 0.0000], [0.0154, 0.6244, 0.7643], [0.4780, 0.3255, 0.9109], [0.8583, 0.0299, 0.4560], [0.3593, 0.7223, 0.5555], [0.3600, 0.3506, 0.2740], [0.3664, 0.9971, 0.9328], [0.4843, 0.0112, 0.5541], [0.4864, 0.6759, 0.2236], [0.8491, 0.6626, 0.1285], [0.8553, 0.3498, 0.7544], [0.9957, 0.3570, 0.3865]],
  "total_magnetization_mub_per_cell": 0.00,
  "dos_at_fermi_per_ev_cell": 1.08
}

=====

Which structure is most stable? <w>, by 0.038 eV/atom over the runner-up.

=====

<w>
{
  "formula": "GaB2As",
  "functional": "PBE",
  "state": "optimized geometry",
  "cell": [[2.8400, -4.7291, 0.0000], [2.8400, 4.7291, 0.0000], [-0.9333, 0.0000, 4.2674]],
  "species": ["Ga", "Ga", "B", "B", "B", "B", "As", "As"],
  "fractional_positions": [[0.1977, 0.8023, 0.0000], [0.8023, 0.1977, 0.0000], [0.1714, 0.5453, 0.5298], [0.4547, 0.8286, 0.4702], [0.5453, 0.1714, 0.5298], [0.8286, 0.4547, 0.4702], [0.2117, 0.2117, 0.6660], [0.7883, 0.7883, 0.3340]],
  "total_magnetization_mub_per_cell": 0.00,
  "dos_at_fermi_per_ev_cell": 1.89
}

=====

<x>
{
  "formula": "GaB2As",
  "functional": "PBE",
  "state": "optimized geometry",
  "cell": [[4.5470, 0.0000, 0.0000], [-1.6809, 4.9120, 0.0000], [-1.4076, -2.4617, 4.8578]],
  "species": ["Ga", "Ga", "B", "B", "B", "B", "As", "As"],
  "fractional_positions": [[0.1457, 0.1495, 0.3023], [0.8543, 0.8505, 0.6977], [0.0303, 0.5393, 0.3675], [0.3339, 0.8308, 0.3666], [0.6661, 0.1692, 0.6334], [0.9697, 0.4607, 0.6325], [0.4209, 0.7183, 0.9998], [0.5791, 0.2817, 0.0002]],
  "total_magnetization_mub_per_cell": 0.00,
  "dos_at_fermi_per_ev_cell": 1.80
}

=====

Which structure is most stable? <x>, by 0.026 eV/atom over the runner-up.

=====

<w>
{
  "formula": "LiMoBr2",
  "functional": "PBE",
  "state": "optimized geometry",
  "cell": [[1.6881, 0.9746, 9.0143], [-1.6881, 0.9746, 9.0143], [0.0000, -1.9492, 9.0143]],
  "species": ["Li", "Mo", "Br", "Br"],
  "fractional_positions": [[0.0000, 0.0000, 0.0000], [0.5000, 0.5000, 0.5000], [0.1001, 0.1001, 0.1001], [0.8999, 0.8999, 0.8999]],
  "total_magnetization_mub_per_cell": 0.00,
  "dos_at_fermi_per_ev_cell": 3.63
}

=====

<x>
{
  "formula": "LiMoBr2",
  "functional": "PBE",
  "state": "optimized geometry",
  "cell": [[-3.1555, 3.1555, 5.9366], [3.1555, -3.1555, 5.9366], [3.1555, 3.1555, -5.9366]],
  "species": ["Li", "Li", "Mo", "Mo", "Br", "Br", "Br", "Br"],
  "fractional_positions": [[0.0000, 0.0000, 0.0000], [0.7500, 0.2500, 0.5000], [0.2500, 0.7500, 0.5000], [0.5000, 0.5000, 0.0000], [0.0900, 0.6250, 0.9650], [0.3750, 0.3400, 0.4650], [0.6600, 0.1250, 0.0350], [0.8750, 0.9100, 0.5350]],
  "total_magnetization_mub_per_cell": 10.00,
  "dos_at_fermi_per_ev_cell": 0.01
}

=====

Which structure is most stable? <x>, by 0.080 eV/atom over the runner-up.

=====

<w>
{
  "formula": "KNaAs",
  "functional": "PBE",
  "state": "optimized geometry",
  "cell": [[5.2226, 0.0000, 0.0000], [-2.6113, 4.5229, 0.0000], [0.0000, 0.0000, 3.6227]],
  "species": ["K", "Na", "As"],
  "fractional_positions": [[0.0000, 0.0000, 0.0000], [0.3333, 0.6667, 0.5027], [0.6667, 0.3333, 0.4988]],
  "total_magnetization_mub_per_cell": 0.00,
  "dos_at_fermi_per_ev_cell": 3.31
}

=====

<x>
{
  "formula": "KNaAs",
  "functional": "PBE",
  "state": "optimized geometry",
  "cell": [[-2.0031, 2.0031, 5.6715], [2.0031, -2.0031, 5.6715], [2.0031, 2.0031, -5.6715]],
  "species": ["K", "Na", "As"],
  "fractional_positions": [[0.0000, 0.0000, 0.0000], [0.7250, 0.7250, 0.0000], [0.3157, 0.3157, 0.0000]],
  "total_magnetization_mub_per_cell": 0.00,
  "dos_at_fermi_per_ev_cell": 1.70
}

=====

Which structure is most stable? <w>, by 0.042 eV/atom over the runner-up.

=====

<w>
{
  "formula": "B2C",
  "functional": "PBE",
  "state": "optimized geometry",
  "cell": [[6.5706, -1.3410, 0.0000], [6.5706, 1.3410, 0.0000], [-1.5541, 0.0000, 4.8938]],
  "species": ["B", "B", "B", "B", "B", "B", "B", "B", "C", "C", "C", "C"],
  "fractional_positions": [[0.0000, 0.0000, 0.0000], [0.1223, 0.1223, 0.2487], [0.1366, 0.1366, 0.9035], [0.2799, 0.2799, 0.0723], [0.3468, 0.3468, 0.6292], [0.5057, 0.5057, 0.6199], [0.6446, 0.6446, 0.6884], [0.9663, 0.9663, 0.3320], [0.4488, 0.4488, 0.8559], [0.6744, 0.6744, 0.4168], [0.7937, 0.7937, 0.4692], [0.8349, 0.8349, 0.2035]],
  "total_magnetization_mub_per_cell": 0.00,
  "dos_at_fermi_per_ev_cell": 1.76
}

=====

<x>
{
  "formula": "B2C",
  "functional": "PBE",
  "state": "optimized geometry",
  "cell": [[4.6410, -1.3485, 0.0000], [4.6410, 1.3485, 0.0000], [-2.7596, 0.0000, 7.7163]],
  "species": ["B", "B", "B", "B", "B", "B", "B", "B", "C", "C", "C", "C"],
  "fractional_positions": [[0.0358, 0.0358, 0.4138], [0.0933, 0.0933, 0.0042], [0.3185, 0.3185, 0.7652], [0.4050, 0.4050, 0.1687], [0.5950, 0.5950, 0.8313], [0.6815, 0.6815, 0.2348], [0.9067, 0.9067, 0.9958], [0.9642, 0.9642, 0.5862], [0.2340, 0.2340, 0.1738], [0.4402, 0.4402, 0.6673], [0.5598, 0.5598, 0.3327], [0.7660, 0.7660, 0.8262]],
  "total_magnetization_mub_per_cell": 0.00,
  "dos_at_fermi_per_ev_cell": 1.31
}

=====

Which structure is most stable? <x>, by 0.136 eV/atom over the runner-up.

=====

<w>
{
  "formula": "TeI2ClF",
  "functional": "PBE",
  "state": "optimized geometry",
  "cell": [[5.9681, 0.0000, 0.0000], [0.0000, 5.9681, 0.0000], [0.0000, 0.0000, 4.2311]],
  "species": ["Te", "I", "I", "Cl", "F"],
  "fractional_positions": [[0.0000, 0.0000, 0.0000], [0.0000, 0.5000, 0.5000], [0.5000, 0.0000, 0.5000], [0.5000, 0.5000, 0.0000], [0.0000, 0.0000, 0.5000]],
  "total_magnetization_mub_per_cell": 1.21,
  "dos_at_fermi_per_ev_cell": 6.50
}

=====

<x>
{
  "formula": "TeI2ClF",
  "functional": "PBE",
  "state": "optimized geometry",
  "cell": [[5.6767, 0.0000, 0.0000], [0.0000, 5.6767, 0.0000], [0.0000, 0.0000, 5.3549]],
  "species": ["Te", "I", "I", "Cl", "F"],
  "fractional_positions": [[0.0000, 0.0000, 0.0000], [0.0000, 0.5000, 0.5000], [0.5000, 0.0000, 0.5000], [0.0000, 0.0000, 0.5000], [0.5000, 0.5000, 0.0000]],
  "total_magnetization_mub_per_cell": 1.32,
  "dos_at_fermi_per_ev_cell": 9.48
}

=====

Which structure is most stable? <w>, by 0.414 eV/atom over the runner-up.

=====

<w>
{
  "formula": "SrRuSe2",
  "functional": "PBE",
  "state": "optimized geometry",
  "cell": [[4.3206, 0.0000, 0.0000], [0.0000, 4.6932, 0.0000], [-0.7065, 0.0000, 5.0386]],
  "species": ["Sr", "Ru", "Se", "Se"],
  "fractional_positions": [[0.0000, 0.0000, 0.0000], [0.5960, 0.5000, 0.4217], [0.4374, 0.5000, 0.9147], [0.6055, 0.0000, 0.4552]],
  "total_magnetization_mub_per_cell": 0.46,
  "dos_at_fermi_per_ev_cell": 3.77
}

=====

<x>
{
  "formula": "SrRuSe2",
  "functional": "PBE",
  "state": "optimized geometry",
  "cell": [[1.9566, 1.1296, 8.3600], [-1.9566, 1.1296, 8.3600], [0.0000, -2.2593, 8.3600]],
  "species": ["Sr", "Ru", "Se", "Se"],
  "fractional_positions": [[0.0000, 0.0000, 0.0000], [0.5000, 0.5000, 0.5000], [0.1193, 0.1193, 0.1193], [0.8807, 0.8807, 0.8807]],
  "total_magnetization_mub_per_cell": 0.10,
  "dos_at_fermi_per_ev_cell": 5.83
}

=====

Which structure is most stable? <w>, by 0.332 eV/atom over the runner-up.

=====

<w>
{
  "formula": "Si2AgRh",
  "functional": "PBE",
  "state": "optimized geometry",
  "cell": [[1.4533, 0.8391, 8.1938], [-1.4533, 0.8391, 8.1938], [0.0000, -1.6781, 8.1938]],
  "species": ["Si", "Si", "Ag", "Rh"],
  "fractional_positions": [[0.2426, 0.2426, 0.2426], [0.7574, 0.7574, 0.7574], [0.0000, 0.0000, 0.0000], [0.5000, 0.5000, 0.5000]],
  "total_magnetization_mub_per_cell": 0.00,
  "dos_at_fermi_per_ev_cell": 1.53
}

=====

<x>
{
  "formula": "Si2AgRh",
  "functional": "PBE",
  "state": "optimized geometry",
  "cell": [[0.0000, 3.0868, 3.0868], [3.0868, 0.0000, 3.0868], [3.0868, 3.0868, 0.0000]],
  "species": ["Si", "Si", "Ag", "Rh"],
  "fractional_positions": [[0.2500, 0.2500, 0.2500], [0.7500, 0.7500, 0.7500], [0.0000, 0.0000, 0.0000], [0.5000, 0.5000, 0.5000]],
  "total_magnetization_mub_per_cell": 0.00,
  "dos_at_fermi_per_ev_cell": 1.93
}

=====

Which structure is most stable? <w>, by 0.207 eV/atom over the runner-up.

=====

<w>
{
  "formula": "Na5B7C3",
  "functional": "PBE",
  "state": "optimized geometry",
  "cell": [[4.9933, 0.0000, 0.0000], [0.0000, 8.5660, 0.0000], [-2.4924, 0.0000, 7.2764]],
  "species": ["Na", "Na", "Na", "Na", "Na", "Na", "Na", "Na", "Na", "Na", "B", "B", "B", "B", "B", "B", "B", "B", "B", "B", "B", "B", "B", "B", "C", "C", "C", "C", "C", "C"],
  "fractional_positions": [[0.0000, 0.2447, 0.0000], [0.0000, 0.7553, 0.0000], [0.2016, 0.2464, 0.4005], [0.2016, 0.7536, 0.4005], [0.4020, 0.2489, 0.8004], [0.4020, 0.7511, 0.8004], [0.5986, 0.2447, 0.1997], [0.5986, 0.7553, 0.1997], [0.8033, 0.2487, 0.5993], [0.8033, 0.7513, 0.5993], [0.0663, 0.0000, 0.8000], [0.0708, 0.5000, 0.8015], [0.1328, 0.5000, 0.5989], [0.2842, 0.0000, 0.2006], [0.3456, 0.5000, 0.0116], [0.4661, 0.0000, 0.6000], [0.4837, 0.5000, 0.6001], [0.5118, 0.5000, 0.3816], [0.6579, 0.0000, 0.9885], [0.7309, 0.5000, 0.8172], [0.8682, 0.5000, 0.3985], [0.8699, 0.0000, 0.4121], [0.9329, 0.0000, 0.2003], [0.9331, 0.5000, 0.1876], [0.1317, 0.0000, 0.6060], [0.2591, 0.5000, 0.1959], [0.3321, 0.0000, 0.9973], [0.5350, 0.0000, 0.4030], [0.6632, 0.5000, 0.0037], [0.7257, 0.0000, 0.7942]],
  "total_magnetization_mub_per_cell": 0.00,
  "dos_at_fermi_per_ev_cell": 2.53
}

=====

<x>
{
  "formula": "Na5B7C3",
  "functional": "PBE",
  "state": "optimized geometry",
  "cell": [[8.5806, 0.0000, 0.0000], [0.0000, 1.4145, 12.8299], [0.0000, -1.4145, 12.8299]],
  "species": ["Na", "Na", "Na", "Na", "Na", "Na", "Na", "Na", "Na", "Na", "B", "B", "B", "B", "B", "B", "B", "B", "B", "B", "B", "B", "B", "B", "C", "C", "C", "C", "C", "C"],
  "fractional_positions": [[0.2447, 0.0000, 0.0000], [0.2458, 0.1999, 0.1999], [0.2460, 0.6005, 0.6005], [0.2481, 0.7992, 0.7992], [0.2485, 0.3997, 0.3997], [0.7515, 0.3997, 0.3997], [0.7519, 0.7992, 0.7992], [0.7542, 0.1999, 0.1999], [0.7540, 0.6005, 0.6005], [0.7553, 0.0000, 0.0000], [0.0000, 0.0731, 0.0731], [0.0000, 0.2661, 0.2661], [0.0000, 0.4600, 0.4600], [0.0000, 0.5326, 0.5326], [0.0000, 0.6694, 0.6694], [0.0000, 0.8627, 0.8627], [0.5000, 0.1323, 0.1323], [0.5000, 0.2639, 0.2639], [0.5000, 0.3277, 0.3277], [0.5000, 0.4737, 0.4737], [0.5000, 0.5412, 0.5412], [0.5000, 0.7226, 0.7226], [0.5000, 0.8700, 0.8700], [0.5000, 0.9349, 0.9349], [0.0000, 0.1370, 0.1370], [0.0000, 0.3311, 0.3311], [0.0000, 0.7341, 0.7341], [0.0000, 0.9284, 0.9284], [0.5000, 0.0701, 0.0701], [0.5000, 0.6626, 0.6626]],
  "total_magnetization_mub_per_cell": 0.00,
  "dos_at_fermi_per_ev_cell": 4.73
}

=====

Which structure is most stable? <x>, by 0.020 eV/atom over the runner-up.

=====

<w>
{
  "formula": "RbIrOs",
  "functional": "PBE",
  "state": "optimized geometry",
  "cell": [[5.1203, 0.0000, 0.0000], [0.0000, 4.4564, 0.0000], [-2.0729, 0.0000, 6.3846]],
  "species": ["Rb", "Rb", "Ir", "Ir", "Os", "Os"],
  "fractional_positions": [[0.0000, 0.0000, 0.0000], [0.4902, 0.5000, 0.0369], [0.3669, 0.0000, 0.5602], [0.6526, 0.5000, 0.5637], [0.1183, 0.5000, 0.4828], [0.8326, 0.0000, 0.4775]],
  "total_magnetization_mub_per_cell": 0.00,
  "dos_at_fermi_per_ev_cell": 2.81
}

=====

<x>
{
  "formula": "RbIrOs",
  "functional": "PBE",
  "state": "optimized geometry",
  "cell": [[8.3068, 0.0000, 0.0000], [0.0000, 4.3928, 0.0000], [0.0000, 0.0000, 7.6026]],
  "species": ["Rb", "Rb", "Rb", "Rb", "Ir", "Ir", "Ir", "Ir", "Os", "Os", "Os", "Os"],
  "fractional_positions": [[0.0027, 0.2500, 0.1457], [0.4973, 0.7500, 0.6457], [0.5027, 0.2500, 0.3543], [0.9973, 0.7500, 0.8543], [0.1469, 0.2500, 0.5762], [0.3531, 0.7500, 0.0762], [0.6469, 0.2500, 0.9238], [0.8531, 0.7500, 0.4238], [0.1444, 0.7500, 0.4255], [0.3556, 0.2500, 0.9255], [0.6444, 0.7500, 0.0745], [0.8556, 0.2500, 0.5745]],
  "total_magnetization_mub_per_cell": 0.00,
  "dos_at_fermi_per_ev_cell": 6.53
}

=====

Which structure is most stable? <w>, by 0.340 eV/atom over the runner-up.